This record from the Alexandria database describes crystalline MgCuMo at its relaxed geometry. The functional is GGA-PBEsol.

The structure in POSCAR format:
```
MgCuMo
1.0
0.000 2.993 2.993
2.993 0.000 2.993
2.993 2.993 0.000
Mg Cu Mo
1 1 1
Direct
0.000 0.000 0.000
0.500 0.500 0.500
0.750 0.750 0.750
```

Summary:
The energy above the most stable polymorph in this dataset is 77.05 kJ per mole of atoms. As for the crystal system: cubic. As for the total energy: -4.640 eV per atom. The calculation puts the volume at 54 Å³/cell. The value obtained for the formation energy is 1.30 eV/atom. Its density of states at the Fermi level is 1.458 states/eV/atom.

This record from the Alexandria database describes crystalline MgCu2MoP at its relaxed geometry. The functional is GGA-PBEsol.

The structure in POSCAR format:
```
MgCu2MoP
1.0
4.210 0.000 0.000
0.000 4.210 0.000
0.000 0.000 4.719
Mg Cu Mo P
1 2 1 1
Direct
0.000 0.000 0.000
0.000 0.500 0.500
0.500 0.000 0.500
0.500 0.500 0.000
0.000 0.000 0.500
```

Summary:
As for the crystal system: tetragonal. As for the total energy: -4.697 eV per atom. The calculation puts the volume at 84 Å³/cell. The value obtained for the formation energy is 0.89 eV/atom. Its density of states at the Fermi level is 0.694 states/eV/atom.

This record from the Alexandria database describes crystalline Mg3CuN at its relaxed geometry. The functional is GGA-PBEsol.

The structure in POSCAR format:
```
Mg3CuN
1.0
4.731 0.000 0.000
0.000 4.731 0.000
0.000 0.000 4.731
Mg Cu N
3 1 1
Direct
0.000 0.000 0.500
0.000 0.500 0.000
0.500 0.000 0.000
0.000 0.000 0.000
0.500 0.500 0.500
```

Summary:
The formation energy from raw total energies is 1053 meV per atom. As for the crystal system: cubic. As for the total energy: -2.549 eV per atom. The calculation puts the volume at 106 Å³/cell. Its density of states at the Fermi level is 0.561 states/eV/atom.

This record from the Alexandria database describes crystalline MgCuNO2 at its relaxed geometry. The functional is GGA-PBEsol.

The structure in POSCAR format:
```
MgCuNO2
1.0
3.790 0.000 0.000
0.000 3.790 0.000
0.000 0.000 4.070
Mg Cu N O
1 1 1 2
Direct
0.000 0.000 0.000
0.500 0.500 0.500
0.000 0.000 0.500
0.000 0.500 0.000
0.500 0.000 0.000
```

Summary:
The formation energy from raw total energies is 494 meV per atom. As for the crystal system: tetragonal. As for the total energy: -4.521 eV per atom. The calculation puts the volume at 58 Å³/cell. Its density of states at the Fermi level is 0.361 states/eV/atom.

- Which value of total energy does entry 2 give?
  -4.697 eV per atom